No. 1
CrCd2BiO: optimized geometry, PBE with a Hubbard U.

Computed properties:
space group	No. 123

abc: 5.7919 5.7919 3.6046
angles: 90.00 90.00 90.00
Atoms (fractional coordinates):
Cr 0.0000 0.0000 0.0000
Cd 0.0000 0.5000 0.0000
Cd 0.5000 0.0000 0.0000
Bi 0.5000 0.5000 0.5000
O 0.0000 0.0000 0.5000



No. 2
CrCdBi2O6: optimized geometry, PBE with a Hubbard U.

Computed properties:
space group	No. 14

abc: 5.7205 5.8818 9.7289
angles: 90.00 124.92 90.00
Atoms (fractional coordinates):
Cr 0.0000 0.0000 0.0000
Cr 0.0000 0.5000 0.5000
Cd 0.5000 0.0000 0.5000
Cd 0.5000 0.5000 0.0000
Bi 0.2397 0.0618 0.7320
Bi 0.2397 0.4382 0.2320
Bi 0.7603 0.5618 0.7680
Bi 0.7603 0.9382 0.2680
O 0.1005 0.0440 0.2330
O 0.1005 0.4560 0.7330
O 0.1834 0.6902 0.0415
O 0.1834 0.8098 0.5415
O 0.3592 0.1711 0.0777
O 0.3592 0.3289 0.5777
O 0.6408 0.6711 0.4223
O 0.6408 0.8289 0.9223
O 0.8166 0.1902 0.4585
O 0.8166 0.3098 0.9585
O 0.8995 0.5440 0.2670
O 0.8995 0.9560 0.7670



Number 1: VASP energy -0.2795 Ry/atom, magnetic moment 3.78 μB/f.u.. Number 2: VASP energy -0.4322 Ry/atom, magnetic moment 1.98 μB/f.u..